LiW2AuO: relaxed, GGA+U.

Cell lengths 4.0635, 4.0635, 5.2151 Å; angles 90.00, 90.00, 90.00 degrees
Closest atoms and distances in Å follow each position.
Space group P4/mmm (No. 123)
One atom of each set of equivalent atoms:
Li 0.0000 0.0000 0.0000 [1 per cell]  4 Au 2.87
W 0.0000 0.5000 0.5000 [2 per cell]  2 O 2.03
Au 0.5000 0.5000 0.0000 [1 per cell]  2 O 2.61, 4 Li 2.87
O 0.5000 0.5000 0.5000 [1 per cell]  4 W 2.03

## Properties
E in eV/cell: -21.44
DOS(E_F) in states/eV/cell: 4.8
Mass density in g/cm³: 11.3